Entry 1:
Compound: ScSnPd4
Source: the Alexandria database
Functional: PBE
Structure: optimized geometry Values from VASP.

## Properties
The value obtained for the total magnetization is 0.000 μB per atom. The calculation puts the calculated density at 9.65 Mg/m³. The calculation puts the energy relative to the elements at -0.69 eV per atom. As for the space group: No. 12.

```
&SYSTEM
  ibrav = 0, nat = 6, ntyp = 3
/
ATOMIC_SPECIES
Sc 44.96 Sc.upf
Sn 118.71 Sn.upf
Pd 106.42 Pd.upf
CELL_PARAMETERS angstrom
3.647 0.000 1.055
2.035 4.647 -0.204
0.152 -1.649 6.307
ATOMIC_POSITIONS angstrom
Sc 2.917 1.499 3.579
Sn 0.000 0.000 0.000
Pd 4.194 0.986 5.998
Pd 1.266 -0.534 2.454
Pd 1.641 2.012 1.160
Pd 4.568 3.532 4.704
```

***

Entry 2:
Compound: ScSnPd3
Source: the Alexandria database
Functional: PBE
Structure: optimized geometry Values from VASP.

## Properties
The calculation puts the polymorph energy (0 for the lowest one) at 0.0744 eV per atom. The value obtained for the total magnetization is 0.000 μB per atom. The calculation puts the calculated density at 8.71 Mg/m³. The calculation puts the energy relative to the elements at -0.72 eV per atom. As for the space group: No. 59.

```
&SYSTEM
  ibrav = 0, nat = 20, ntyp = 3
/
ATOMIC_SPECIES
Sc 44.96 Sc.upf
Sn 118.71 Sn.upf
Pd 106.42 Pd.upf
CELL_PARAMETERS angstrom
-4.552 1.957 -2.619
-4.225 -4.416 4.043
-0.796 6.432 6.192
ATOMIC_POSITIONS angstrom
Sc -6.205 -0.540 1.385
Sc -3.369 4.514 6.231
Sc -2.971 1.298 3.135
Sc -6.602 2.676 4.481
Sn -5.606 0.361 7.014
Sn -3.967 3.613 0.602
Sn -4.367 6.829 3.697
Sn -5.207 -2.856 3.919
Pd -3.524 -0.900 5.347
Pd -6.050 4.873 2.269
Pd -3.456 0.713 0.436
Pd -6.118 3.260 7.180
Pd -5.719 0.045 4.084
Pd -3.855 3.928 3.533
Pd -5.652 1.656 -0.826
Pd -3.921 2.318 8.443
Pd -4.077 1.956 5.553
Pd -5.496 2.017 2.063
Pd -5.893 5.233 5.160
Pd -3.681 -1.259 2.456
```

***

Entry 3:
Compound: Sc2SnPd3
Source: the Alexandria database
Functional: PBE
Structure: optimized geometry Values from VASP.

## Properties
The value obtained for the total magnetization is 0.000 μB per atom. The calculation puts the calculated density at 8.13 Mg/m³. The calculation puts the energy relative to the elements at -0.87 eV per atom. As for the space group: No. 164.

```
&SYSTEM
  ibrav = 0, nat = 12, ntyp = 3
/
ATOMIC_SPECIES
Sc 44.96 Sc.upf
Sn 118.71 Sn.upf
Pd 106.42 Pd.upf
CELL_PARAMETERS angstrom
-2.586 0.810 -3.779
4.460 -1.235 -0.455
-3.097 -11.085 -0.257
ATOMIC_POSITIONS angstrom
Sc -1.548 -5.542 -0.129
Sc 1.581 -2.451 -1.607
Sc -2.804 -9.059 -2.884
Sc 0.000 0.000 0.000
Sn 0.041 -7.963 -1.735
Sn -1.264 -3.547 -2.756
Pd 0.809 -5.217 -1.671
Pd -0.474 -0.721 -2.691
Pd -2.332 -8.348 -0.194
Pd -0.764 -2.737 -0.063
Pd -0.748 -10.789 -1.800
Pd -2.031 -6.294 -2.820
```

***

Entry 4:
Compound: ScSn2Pd
Source: the Alexandria database
Functional: PBE
Structure: optimized geometry Values from VASP.

## Properties
The value obtained for the total magnetization is 0.000 μB per atom. The calculation puts the calculated density at 7.74 Mg/m³. The calculation puts the energy relative to the elements at -0.40 eV per atom. As for the space group: No. 225.

```
&SYSTEM
  ibrav = 0, nat = 4, ntyp = 3
/
ATOMIC_SPECIES
Sc 44.96 Sc.upf
Sn 118.71 Sn.upf
Pd 106.42 Pd.upf
CELL_PARAMETERS angstrom
0.000 3.468 3.468
3.468 0.000 3.468
3.468 3.468 0.000
ATOMIC_POSITIONS angstrom
Sc 0.000 0.000 0.000
Sn 1.734 1.734 1.734
Sn 5.201 5.201 5.201
Pd 3.468 3.468 3.468
```

***

Entry 5:
Compound: ScSn2Pd
Source: the Alexandria database
Functional: PBE
Structure: optimized geometry Values from VASP.

## Properties
The value obtained for the total magnetization is 0.000 μB per atom. The calculation puts the calculated density at 7.63 Mg/m³. The calculation puts the energy relative to the elements at -0.58 eV per atom. As for the space group: No. 139.

```
&SYSTEM
  ibrav = 0, nat = 8, ntyp = 3
/
ATOMIC_SPECIES
Sc 44.96 Sc.upf
Sn 118.71 Sn.upf
Pd 106.42 Pd.upf
CELL_PARAMETERS angstrom
4.325 0.000 -1.200
-0.333 4.313 -1.200
0.161 0.174 8.978
ATOMIC_POSITIONS angstrom
Sc 0.561 0.605 2.021
Sc 3.593 3.881 4.558
Sn -0.166 2.156 -0.600
Sn 2.163 0.000 -0.600
Sn 1.491 1.611 5.377
Sn 2.662 2.876 1.202
Pd 0.912 3.321 3.289
Pd 3.241 1.165 3.289
```

***

Entry 6:
Compound: Sc3Sn2Pd8
Source: the Alexandria database
Functional: PBE
Structure: optimized geometry Values from VASP.

## Properties
The value obtained for the total magnetization is 0.000 μB per atom. The calculation puts the calculated density at 8.34 Mg/m³. The calculation puts the energy relative to the elements at -0.53 eV per atom. As for the space group: No. 166.

```
&SYSTEM
  ibrav = 0, nat = 13, ntyp = 3
/
ATOMIC_SPECIES
Sc 44.96 Sc.upf
Sn 118.71 Sn.upf
Pd 106.42 Pd.upf
CELL_PARAMETERS angstrom
5.389 0.000 0.000
2.695 4.667 0.000
2.695 1.556 9.680
ATOMIC_POSITIONS angstrom
Sc 0.000 0.000 0.000
Sc 8.084 4.667 5.551
Sc 2.695 1.556 4.129
Sn 5.389 3.112 1.093
Sn 5.389 3.112 8.587
Pd 8.084 4.667 8.191
Pd 2.695 1.556 1.489
Pd 4.033 3.895 3.262
Pd 5.389 1.545 3.262
Pd 6.746 3.895 3.262
Pd 5.389 4.678 6.418
Pd 6.746 2.328 6.418
Pd 4.033 2.328 6.418
```

***

Entry 7:
Compound: ScSnPd6
Source: the Alexandria database
Functional: PBE
Structure: optimized geometry Values from VASP.

## Properties
The calculation puts the polymorph energy (0 for the lowest one) at 0.0000 eV per atom. The value obtained for the total magnetization is 0.000 μB per atom. The calculation puts the calculated density at 10.22 Mg/m³. The calculation puts the energy relative to the elements at -0.68 eV per atom. As for the space group: No. 123.

```
&SYSTEM
  ibrav = 0, nat = 8, ntyp = 3
/
ATOMIC_SPECIES
Sc 44.96 Sc.upf
Sn 118.71 Sn.upf
Pd 106.42 Pd.upf
CELL_PARAMETERS angstrom
-2.673 -2.763 1.198
4.055 -2.614 3.018
-1.293 3.210 4.518
ATOMIC_POSITIONS angstrom
Sc -1.337 -1.381 0.599
Sn 0.044 -1.083 4.367
Pd 2.726 -1.167 3.391
Pd 0.036 1.763 4.145
Pd 2.076 0.448 5.665
Pd 0.686 0.148 1.871
Pd 0.691 -2.688 2.108
Pd -1.983 0.224 2.858
```

***

Entry 8:
Compound: Sc2Sn4Pd
Source: the Alexandria database
Functional: PBE
Structure: optimized geometry Values from VASP.

## Properties
The value obtained for the total magnetization is 0.000 μB per atom. The calculation puts the calculated density at 5.74 Mg/m³. The calculation puts the energy relative to the elements at -0.09 eV per atom. As for the space group: No. 139.

```
&SYSTEM
  ibrav = 0, nat = 7, ntyp = 3
/
ATOMIC_SPECIES
Sc 44.96 Sc.upf
Sn 118.71 Sn.upf
Pd 106.42 Pd.upf
CELL_PARAMETERS angstrom
5.237 0.000 0.000
0.000 5.237 0.000
2.618 2.618 7.080
ATOMIC_POSITIONS angstrom
Sc 2.618 2.618 1.532
Sc 5.237 5.237 5.548
Sn 2.618 2.618 4.418
Sn 5.237 5.237 2.662
Sn 0.000 2.618 0.000
Sn 2.618 0.000 0.000
Pd 0.000 0.000 0.000
```

***

Entry 9:
Compound: Sc2Sn2Pd
Source: the Alexandria database
Functional: PBE
Structure: optimized geometry Values from VASP.

## Properties
The calculation puts the polymorph energy (0 for the lowest one) at 0.3979 eV per atom. The value obtained for the total magnetization is 0.000 μB per atom. The calculation puts the calculated density at 6.34 Mg/m³. The calculation puts the energy relative to the elements at -0.25 eV per atom. As for the space group: No. 127.

```
&SYSTEM
  ibrav = 0, nat = 10, ntyp = 3
/
ATOMIC_SPECIES
Sc 44.96 Sc.upf
Sn 118.71 Sn.upf
Pd 106.42 Pd.upf
CELL_PARAMETERS angstrom
8.170 0.000 0.000
0.000 8.170 0.000
0.000 0.000 3.405
ATOMIC_POSITIONS angstrom
Sc 3.019 7.104 0.000
Sc 7.104 5.150 0.000
Sc 5.150 1.065 0.000
Sc 1.065 3.019 0.000
Sn 1.434 5.519 1.703
Sn 5.519 6.736 1.703
Sn 6.736 2.651 1.703
Sn 2.651 1.434 1.703
Pd 0.000 0.000 0.000
Pd 4.085 4.085 0.000
```

***

Entry 10:
Compound: Sc2SnPd4
Source: the Alexandria database
Functional: PBE
Structure: optimized geometry Values from VASP.

## Properties
The calculation puts the polymorph energy (0 for the lowest one) at 0.6191 eV per atom. The value obtained for the total magnetization is 0.000 μB per atom. The calculation puts the calculated density at 6.52 Mg/m³. The calculation puts the energy relative to the elements at -0.07 eV per atom. As for the space group: No. 139.

```
&SYSTEM
  ibrav = 0, nat = 7, ntyp = 3
/
ATOMIC_SPECIES
Sc 44.96 Sc.upf
Sn 118.71 Sn.upf
Pd 106.42 Pd.upf
CELL_PARAMETERS angstrom
-4.035 -2.079 1.804
-0.619 -2.433 -4.190
1.390 -7.370 1.228
ATOMIC_POSITIONS angstrom
Sc -1.411 -3.517 -0.596
Sc -1.854 -8.365 -0.562
Sn 0.000 0.000 0.000
Pd -0.091 -5.334 0.264
Pd -3.174 -6.549 -1.422
Pd -0.310 -1.217 -2.095
Pd -2.018 -1.039 0.902
```

***

Entry 11:
Compound: ScSnPd3
Source: the Alexandria database
Functional: PBE
Structure: optimized geometry Values from VASP.

## Properties
The calculation puts the polymorph energy (0 for the lowest one) at 0.9835 eV per atom. The value obtained for the total magnetization is 0.000 μB per atom. The calculation puts the calculated density at 7.17 Mg/m³. The calculation puts the energy relative to the elements at 0.19 eV per atom. As for the space group: No. 221.

```
&SYSTEM
  ibrav = 0, nat = 5, ntyp = 3
/
ATOMIC_SPECIES
Sc 44.96 Sc.upf
Sn 118.71 Sn.upf
Pd 106.42 Pd.upf
CELL_PARAMETERS angstrom
-2.933 -3.629 1.201
2.320 -2.894 -3.075
3.038 -1.294 3.509
ATOMIC_POSITIONS angstrom
Sc 0.000 0.000 0.000
Sn 1.212 -3.908 0.818
Pd 1.160 -1.447 -1.538
Pd 1.519 -0.647 1.755
Pd -1.467 -1.814 0.601
```

***

Entry 12:
Compound: Sc5SnPd4
Source: the Alexandria database
Functional: PBE
Structure: optimized geometry Values from VASP.

## Properties
The value obtained for the total magnetization is 0.000 μB per atom. The calculation puts the calculated density at 6.70 Mg/m³. The calculation puts the energy relative to the elements at -0.82 eV per atom. As for the space group: No. 123.

```
&SYSTEM
  ibrav = 0, nat = 10, ntyp = 3
/
ATOMIC_SPECIES
Sc 44.96 Sc.upf
Sn 118.71 Sn.upf
Pd 106.42 Pd.upf
CELL_PARAMETERS angstrom
3.296 0.000 0.000
0.000 3.296 0.000
0.000 0.000 17.546
ATOMIC_POSITIONS angstrom
Sc 1.648 1.648 2.091
Sc 1.648 1.648 5.426
Sc 1.648 1.648 8.773
Sc 1.648 1.648 12.121
Sc 1.648 1.648 15.455
Sn 0.000 0.000 0.000
Pd 0.000 0.000 3.797
Pd 0.000 0.000 7.118
Pd 0.000 0.000 10.428
Pd 0.000 0.000 13.750
```